Cd4SiSb | GGA-PBEsol | relaxed

```
Cd4SiSb
1.0
-2.633 -1.870 4.724
-5.098 -2.569 -0.393
-0.457 -5.618 0.987
Cd Sb Si
4 1 1
direct
0.375 0.375 0.375
0.375 0.375 0.876
0.876 0.375 0.375
0.375 0.876 0.375
0.750 0.750 0.750
0.000 0.000 0.000
```

ρ: 7.51 g/cm³
energy relative to the elements, uncorrected: 340 meV/atom

***

Sr2CdSb | GGA-PBEsol | relaxed

```
Sr2CdSb
1.0
-3.989 2.149 1.172
-2.369 -2.840 -2.855
0.403 -2.522 5.996
Sb Sr Cd
1 2 1
direct
0.500 0.704 0.409
0.500 0.987 0.974
0.000 0.264 0.528
0.000 0.544 0.089
```

ρ: 5.11 g/cm³
energy above the lowest structure with this stoichiometry: 0.000 eV/atom
energy relative to the elements, uncorrected: -721 meV/atom

***

SrCdSb2 | GGA-PBEsol | relaxed

```
SrCdSb2
1.0
6.547 0.000 0.000
3.274 5.966 0.000
3.274 0.000 5.966
Sb Sr Cd
4 2 2
direct
0.082 0.043 0.543
0.668 0.957 0.457
0.375 0.543 0.957
0.875 0.457 0.043
0.250 0.500 0.500
0.500 0.000 0.000
0.750 0.500 0.500
0.000 0.000 0.000
```

ρ: 6.32 g/cm³
energy relative to the elements, uncorrected: -446 meV/atom

***

SrCdSb2 | GGA-PBEsol | relaxed

```
SrCdSb2
1.0
4.106 0.154 0.000
-0.152 4.106 0.000
0.000 0.000 6.611
Cd Sb Sr
1 2 1
direct
0.500 0.500 0.000
0.000 0.000 0.221
0.000 0.000 0.779
0.500 0.500 0.500
```

ρ: 6.60 g/cm³
energy relative to the elements, uncorrected: -363 meV/atom

***

SrCd2Sb | GGA-PBEsol | relaxed

```
SrCd2Sb
1.0
-4.709 0.049 -0.113
0.008 -4.190 -2.152
2.224 -0.141 5.440
Cd Sb Sr
2 1 1
direct
0.000 0.000 0.000
0.750 0.250 0.500
0.500 0.500 0.000
0.250 0.750 0.500
```

ρ: 6.71 g/cm³
energy relative to the elements, uncorrected: -285 meV/atom

***

SrCdSb | GGA-PBEsol | relaxed

```
SrCdSb
1.0
-5.072 -0.986 0.682
-2.999 -1.179 -4.096
-1.814 -4.850 -0.591
Cd Sb Sr
1 1 1
direct
0.500 0.500 0.500
0.250 0.250 0.250
0.000 0.000 0.000
```

ρ: 5.34 g/cm³
energy relative to the elements, uncorrected: -400 meV/atom

***

Sr2CdSb | GGA-PBEsol | relaxed

```
Sr2CdSb
1.0
-3.244 2.916 0.243
-3.260 -3.418 -2.508
-1.484 -2.044 4.714
Sb Sr Cd
1 2 1
direct
0.500 0.875 0.500
0.000 0.875 0.000
0.000 0.375 0.500
0.500 0.375 0.000
```

ρ: 5.44 g/cm³
energy above the lowest structure with this stoichiometry: 0.029 eV/atom
energy relative to the elements, uncorrected: -693 meV/atom

***

SrCd2Sb | GGA-PBEsol | relaxed

```
SrCd2Sb
1.0
4.733 0.000 0.000
2.366 4.099 0.000
2.366 1.366 6.019
Cd Sb Sr
2 1 1
direct
0.232 0.232 0.305
0.768 0.768 0.695
0.500 0.500 0.500
0.000 0.000 0.000
```

ρ: 6.18 g/cm³
energy relative to the elements, uncorrected: -262 meV/atom

***

SrCdSb2 | GGA-PBEsol | relaxed

```
SrCdSb2
1.0
-3.734 3.815 -0.892
-2.745 2.123 4.153
0.930 5.107 1.531
Cd Sb Sr
1 2 1
direct
0.500 0.500 0.500
0.000 0.000 0.000
0.750 0.750 0.750
0.250 0.250 0.250
```

ρ: 6.57 g/cm³
energy relative to the elements, uncorrected: -247 meV/atom

***

SrCdSb2Te | GGA-PBEsol | relaxed

```
SrCdSb2Te
1.0
-0.559 1.751 5.117
-3.729 -3.851 0.911
4.096 -3.570 1.670
Sb Te Sr Cd
2 1 1 1
direct
0.000 0.500 0.000
0.500 0.000 0.000
0.000 0.000 0.500
0.500 0.500 0.500
0.000 0.000 0.000
```

ρ: 5.64 g/cm³
energy relative to the elements, uncorrected: -19 meV/atom

***

TaCdSb | GGA-PBEsol | relaxed

```
TaCdSb
1.0
-1.004 -1.958 -2.037
-1.226 -0.912 2.580
-4.964 5.913 -1.578
Sb Cd Ta
1 1 1
direct
0.691 0.691 0.382
0.976 0.976 0.952
0.333 0.333 0.665
```

ρ: 10.33 g/cm³
energy relative to the elements, uncorrected: 248 meV/atom

***

Ta2CdSb | GGA-PBEsol | relaxed

```
Ta2CdSb
1.0
3.042 0.000 0.000
1.521 2.634 0.000
1.521 0.878 9.599
Sb Cd Ta
1 1 2
direct
0.000 0.000 0.000
0.500 0.500 0.500
0.251 0.251 0.246
0.749 0.749 0.754
```

ρ: 12.87 g/cm³
energy above the lowest structure with this stoichiometry: 0.077 eV/atom
energy relative to the elements, uncorrected: 346 meV/atom

***

TaCdSb2 | GGA-PBEsol | relaxed

```
TaCdSb2
1.0
-4.587 -0.563 1.817
-0.647 -1.295 4.751
-1.806 3.295 3.247
Sb Cd Ta
2 1 1
direct
0.250 0.250 0.250
0.750 0.750 0.750
0.000 0.000 0.000
0.500 0.500 0.500
```

ρ: 10.29 g/cm³
energy above the lowest structure with this stoichiometry: 0.192 eV/atom
energy relative to the elements, uncorrected: 438 meV/atom

***

Ta2CdSb | GGA-PBEsol | relaxed

```
Ta2CdSb
1.0
-3.405 0.465 -0.872
-1.287 -2.560 3.661
2.197 4.868 1.225
Sb Cd Ta
1 1 2
direct
0.741 0.241 0.482
0.502 0.502 0.003
0.993 0.993 0.985
0.265 0.765 0.529
```

ρ: 12.96 g/cm³
energy above the lowest structure with this stoichiometry: 0.000 eV/atom
energy relative to the elements, uncorrected: 269 meV/atom

***

TaCdSb2 | GGA-PBEsol | relaxed

```
TaCdSb2
1.0
3.077 0.000 0.048
0.000 4.764 0.000
-0.094 0.000 5.883
Sb Cd Ta
2 1 1
direct
0.000 0.000 0.965
0.501 0.500 0.293
0.498 0.500 0.772
0.000 0.000 0.470
```

ρ: 10.34 g/cm³
energy above the lowest structure with this stoichiometry: 0.047 eV/atom
energy relative to the elements, uncorrected: 293 meV/atom